No. 1
CaCo2Re | PBE | optimized geometry

Results
E in eV per atom: -6.71
Total magnetization in μB per formula unit: 0.000

a b c (Å): 2.741 4.465 4.770
angles (deg): 90.00 98.05 90.00
Space group Pm (No. 6)
Inequivalent atoms, fractional coordinates:
Ca1 0.000 0.000 0.000 [1 per cell]
Co1 0.557 0.500 0.127 [1 per cell]
Co2 0.608 0.000 0.487 [1 per cell]
Re1 0.214 0.500 0.590 [1 per cell]



No. 2
CaCoRe | PBE | optimized geometry

Results
E in eV per atom: -6.23
Total magnetization in μB per formula unit: 0.000

a b c (Å): 6.062 6.062 6.062
angles (deg): 90.00 90.00 90.00
Space group F-43m (No. 216)
Inequivalent atoms, fractional coordinates:
Ca1 0.000 0.000 0.000 [4 per cell]
Co1 0.250 0.250 0.250 [4 per cell]
Re1 0.000 0.000 0.500 [4 per cell]



No. 3
CaCoRe | PBE | optimized geometry

Results
E in eV per atom: -6.80
Total magnetization in μB per formula unit: 0.000

a b c (Å): 2.943 2.943 12.042
angles (deg): 90.00 90.00 90.00
Space group I4mm (No. 107)
Inequivalent atoms, fractional coordinates:
Ca1 0.000 0.000 0.000 [2 per cell]
Co1 0.000 0.000 0.692 [2 per cell]
Re1 0.000 0.000 0.297 [2 per cell]



No. 4
CaCoRe | PBE | optimized geometry

Results
E in eV per atom: -6.81
Total magnetization in μB per formula unit: 0.000

a b c (Å): 4.951 4.215 10.206
angles (deg): 90.00 90.00 90.00
Space group Pnma (No. 62)
Inequivalent atoms, fractional coordinates:
Ca1 0.071 0.250 0.122 [4 per cell]
Co1 0.063 0.250 0.444 [4 per cell]
Re1 0.060 0.750 0.322 [4 per cell]